Computed, not measured: an optimized crystal structure of Cs2LiVF6 at the PBE with a Hubbard U level of DFT.

Results
- V: 17.06 A^3/atom
- Electronic total energy: -50.72 eV/f.u.

```
data_Cs2LiVF6
_chemical_formula_sum 'Cs12 Li6 V6 F36'
_cell_length_a 6.2635
_cell_length_b 6.2635
_cell_length_c 30.1345
_cell_angle_alpha 90.00
_cell_angle_beta 90.00
_cell_angle_gamma 120.00
_symmetry_space_group_name_H-M 'R -3 m'
_symmetry_Int_Tables_number 166
_symmetry_space_group_name_Hall '-R 3 2"'
loop_
_atom_site_label
_atom_site_type_symbol
_atom_site_fract_x
_atom_site_fract_y
_atom_site_fract_z
Cs1 Cs 0.0000 0.0000 0.1308
Cs2 Cs 0.0000 0.0000 0.2880
Li1 Li 0.0000 0.0000 0.0000
Li2 Li 0.0000 0.0000 0.5000
V1 V 0.0000 0.0000 0.4113
F1 F 0.0229 0.5115 0.2909
F2 F 0.0513 0.5257 0.1204
```